# 1
Density functional theory data (PBE) for a geometry-optimized BeAu structure.

## Properties
Energy of formation from the pure elements = -0.013 eV per atom
Final energy = -56.23 eV for the cell shown
Density = 11.38 g/cm3

The structure in CIF format:
```
data_BeAu
_symmetry_space_group_name_H-M 'I 4/m'
_symmetry_Int_Tables_number 87
_symmetry_space_group_name_Hall '-I 4'
_cell_length_a 7.495
_cell_length_b 7.495
_cell_length_c 4.281
_cell_angle_alpha 90.00
_cell_angle_beta 90.00
_cell_angle_gamma 90.00
loop_
_atom_site_label
_atom_site_type_symbol
_atom_site_fract_x
_atom_site_fract_y
_atom_site_fract_z
Be1 Be 0.060 0.364 0.000
Au1 Au 0.122 0.238 0.500
```

# 2
Density functional theory data (PBE) for a geometry-optimized BeAu structure.

## Properties
Energy of formation from the pure elements = 0.354 eV per atom
Final energy = -50.37 eV for the cell shown
Density = 7.94 g/cm3

The structure in CIF format:
```
data_BeAu
_symmetry_space_group_name_H-M 'I -4 3 m'
_symmetry_Int_Tables_number 217
_symmetry_space_group_name_Hall 'I -4 2 3'
_cell_length_a 7.010
_cell_length_b 7.010
_cell_length_c 7.010
_cell_angle_alpha 90.00
_cell_angle_beta 90.00
_cell_angle_gamma 90.00
loop_
_atom_site_label
_atom_site_type_symbol
_atom_site_fract_x
_atom_site_fract_y
_atom_site_fract_z
Be1 Be 0.114 0.114 0.114
Au1 Au 0.197 0.197 0.803
```

# 3
Density functional theory data (PBE) for a geometry-optimized Be6Au5 structure.

## Properties
Energy of formation from the pure elements = -0.059 eV per atom
Final energy = -78.78 eV for the cell shown
Density = 11.81 g/cm3

The structure in CIF format:
```
data_Be6Au5
_symmetry_space_group_name_H-M 'C m m m'
_symmetry_Int_Tables_number 65
_symmetry_space_group_name_Hall '-C 2 2'
_cell_length_a 4.061
_cell_length_b 12.297
_cell_length_c 5.851
_cell_angle_alpha 90.00
_cell_angle_beta 90.00
_cell_angle_gamma 90.00
loop_
_atom_site_label
_atom_site_type_symbol
_atom_site_fract_x
_atom_site_fract_y
_atom_site_fract_z
Be1 Be 0.000 0.000 0.224
Be2 Be 0.000 0.355 0.223
Au1 Au 0.000 0.165 0.000
Au2 Au 0.000 0.170 0.500
Au3 Au 0.000 0.500 0.500
```

# 4
Density functional theory data (PBE) for a geometry-optimized BeAu5 structure.

## Properties
Energy of formation from the pure elements = 0.402 eV per atom
Final energy = -70.81 eV for the cell shown
Density = 14.41 g/cm3
Relative energy among the computed polymorphs = 2.82 eV/f.u.

The structure in CIF format:
```
data_BeAu5
_symmetry_space_group_name_H-M 'F -4 3 m'
_symmetry_Int_Tables_number 216
_symmetry_space_group_name_Hall 'F -4 2 3'
_cell_length_a 7.710
_cell_length_b 7.710
_cell_length_c 7.710
_cell_angle_alpha 90.00
_cell_angle_beta 90.00
_cell_angle_gamma 90.00
loop_
_atom_site_label
_atom_site_type_symbol
_atom_site_fract_x
_atom_site_fract_y
_atom_site_fract_z
Be1 Be 0.000 0.000 0.000
Au1 Au 0.125 0.125 0.375
Au2 Au 0.250 0.250 0.750
```

# 5
Density functional theory data (PBE) for a geometry-optimized BeAu structure.

## Properties
Energy of formation from the pure elements = -0.033 eV per atom
Final energy = -42.41 eV for the cell shown
Density = 11.74 g/cm3

The structure in CIF format:
```
data_BeAu
_symmetry_space_group_name_H-M 'R -3 m'
_symmetry_Int_Tables_number 166
_symmetry_space_group_name_Hall '-R 3 2"'
_cell_length_a 3.3884
_cell_length_b 3.3884
_cell_length_c 17.5752
_cell_angle_alpha 90.00
_cell_angle_beta 90.00
_cell_angle_gamma 120.00
loop_
_atom_site_label
_atom_site_type_symbol
_atom_site_fract_x
_atom_site_fract_y
_atom_site_fract_z
Be1 Be 0.0000 0.0000 0.1332
Au1 Au 0.0000 0.0000 0.2703
```

# 6
Density functional theory data (PBE) for a geometry-optimized BeAu structure.

## Properties
Energy of formation from the pure elements = 0.083 eV per atom
Final energy = -20.51 eV for the cell shown
Density = 12.33 g/cm3

The structure in CIF format:
```
data_BeAu
_symmetry_space_group_name_H-M 'R -3 m'
_symmetry_Int_Tables_number 166
_symmetry_space_group_name_Hall '-R 3 2"'
_cell_length_a 2.9794
_cell_length_b 2.9794
_cell_length_c 10.8273
_cell_angle_alpha 90.00
_cell_angle_beta 90.00
_cell_angle_gamma 120.00
loop_
_atom_site_label
_atom_site_type_symbol
_atom_site_fract_x
_atom_site_fract_y
_atom_site_fract_z
Be1 Be 0.0000 0.0000 0.0000
Au1 Au 0.0000 0.0000 0.5000
```

# 7
Density functional theory data (PBE) for a geometry-optimized BeAu2 structure.

## Properties
Energy of formation from the pure elements = -0.097 eV per atom
Final energy = -42.29 eV for the cell shown
Density = 14.70 g/cm3
Relative energy among the computed polymorphs = 0.09 eV/f.u.

The structure in CIF format:
```
data_BeAu2
_symmetry_space_group_name_H-M 'C 1 m 1'
_symmetry_Int_Tables_number 8
_symmetry_space_group_name_Hall 'C -2y'
_cell_length_a 10.626
_cell_length_b 2.977
_cell_length_c 6.954
_cell_angle_alpha 90.00
_cell_angle_beta 124.11
_cell_angle_gamma 90.00
loop_
_atom_site_label
_atom_site_type_symbol
_atom_site_fract_x
_atom_site_fract_y
_atom_site_fract_z
Be1 Be 0.000 0.000 0.000
Be2 Be 0.224 0.000 0.443
Au1 Au 0.017 0.500 0.314
Au2 Au 0.242 0.500 0.190
Au3 Au 0.267 0.000 0.815
Au4 Au 0.489 0.000 0.702
```

# 8
Density functional theory data (PBE) for a geometry-optimized BeAu2 structure.

## Properties
Energy of formation from the pure elements = -0.105 eV per atom
Final energy = -42.39 eV for the cell shown
Density = 14.56 g/cm3
Relative energy among the computed polymorphs = 0.07 eV/f.u.

The structure in CIF format:
```
data_BeAu2
_symmetry_space_group_name_H-M 'I 41/a m d'
_symmetry_Int_Tables_number 141
_cell_length_a 2.870
_cell_length_b 2.870
_cell_length_c 22.318
_cell_angle_alpha 90.00
_cell_angle_beta 90.00
_cell_angle_gamma 90.00
loop_
_symmetry_equiv_pos_as_xyz
'x,y,z'
'-x,-y,-z'
'-y+1/4,x+3/4,z+1/4'
'y+1/4,-x+3/4,-z+1/4'
'-x+1/2,-y,z+1/2'
'x+1/2,y,-z+1/2'
'y+1/4,-x+1/4,z+3/4'
'-y+1/4,x+1/4,-z+3/4'
'x,-y,-z'
'-x,y,z'
'-y+1/4,-x+1/4,-z+3/4'
'y+1/4,x+1/4,z+3/4'
'-x+1/2,y,-z+1/2'
'x+1/2,-y,z+1/2'
'y+1/4,x+3/4,-z+1/4'
'-y+1/4,-x+3/4,z+1/4'
'x+1/2,y+1/2,z+1/2'
'-x+1/2,-y+1/2,-z+1/2'
'-y+3/4,x+1/4,z+3/4'
'y+3/4,-x+1/4,-z+3/4'
'-x,-y+1/2,z'
'x,y+1/2,-z'
'y+3/4,-x+3/4,z+1/4'
'-y+3/4,x+3/4,-z+1/4'
'x+1/2,-y+1/2,-z+1/2'
'-x+1/2,y+1/2,z+1/2'
'-y+3/4,-x+3/4,-z+1/4'
'y+3/4,x+3/4,z+1/4'
'-x,y+1/2,-z'
'x,-y+1/2,z'
'y+3/4,x+1/4,-z+3/4'
'-y+3/4,-x+1/4,z+3/4'
loop_
_atom_site_label
_atom_site_type_symbol
_atom_site_fract_x
_atom_site_fract_y
_atom_site_fract_z
Be1 Be 0.000 0.250 0.375
Au1 Au 0.000 0.250 0.808
```

# 9
Density functional theory data (PBE) for a geometry-optimized BeAu2 structure.

## Properties
Energy of formation from the pure elements = -0.099 eV per atom
Final energy = -42.31 eV for the cell shown
Density = 14.02 g/cm3
Relative energy among the computed polymorphs = 0.09 eV/f.u.

The structure in CIF format:
```
data_BeAu2
_symmetry_space_group_name_H-M 'F m -3 m'
_symmetry_Int_Tables_number 225
_symmetry_space_group_name_Hall '-F 4 2 3'
_cell_length_a 5.757
_cell_length_b 5.757
_cell_length_c 5.757
_cell_angle_alpha 90.00
_cell_angle_beta 90.00
_cell_angle_gamma 90.00
loop_
_atom_site_label
_atom_site_type_symbol
_atom_site_fract_x
_atom_site_fract_y
_atom_site_fract_z
Be1 Be 0.000 0.000 0.000
Au1 Au 0.250 0.250 0.250
```

# 10
Density functional theory data (PBE) for a geometry-optimized BeAu structure.

## Properties
Energy of formation from the pure elements = 0.335 eV per atom
Final energy = -25.33 eV for the cell shown
Density = 11.24 g/cm3

The structure in CIF format:
```
data_BeAu
_symmetry_space_group_name_H-M 'P 63/m m c'
_symmetry_Int_Tables_number 194
_symmetry_space_group_name_Hall '-P 6c 2c'
_cell_length_a 4.5173
_cell_length_b 4.5173
_cell_length_c 6.8897
_cell_angle_alpha 90.00
_cell_angle_beta 90.00
_cell_angle_gamma 120.00
loop_
_atom_site_label
_atom_site_type_symbol
_atom_site_fract_x
_atom_site_fract_y
_atom_site_fract_z
Be1 Be 0.3333 0.6667 0.0933
Au1 Au 0.0000 0.0000 0.2500
Au2 Au 0.3333 0.6667 0.7500
```

# 11
Density functional theory data (PBE) for a geometry-optimized BeAu2 structure.

## Properties
Energy of formation from the pure elements = -0.124 eV per atom
Final energy = -42.61 eV for the cell shown
Density = 15.01 g/cm3
Relative energy among the computed polymorphs = 0.01 eV/f.u.

The structure in CIF format:
```
data_BeAu2
_symmetry_space_group_name_H-M 'C 1 2/m 1'
_symmetry_Int_Tables_number 12
_symmetry_space_group_name_Hall '-C 2y'
_cell_length_a 10.706
_cell_length_b 2.975
_cell_length_c 6.946
_cell_angle_alpha 90.00
_cell_angle_beta 126.29
_cell_angle_gamma 90.00
loop_
_atom_site_label
_atom_site_type_symbol
_atom_site_fract_x
_atom_site_fract_y
_atom_site_fract_z
Be1 Be 0.120 0.000 0.187
Au1 Au 0.096 0.500 0.887
Au2 Au 0.157 0.000 0.567
```

# 12
Density functional theory data (PBE) for a geometry-optimized Be3BiAu structure.

## Properties
Energy of formation from the pure elements = 1.442 eV per atom
Final energy = -11.12 eV for the cell shown
Density = 6.68 g/cm3
Relative energy among the computed polymorphs = 4.64 eV/f.u.

The structure in CIF format:
```
data_Be3BiAu
_symmetry_space_group_name_H-M 'P m -3 m'
_symmetry_Int_Tables_number 221
_symmetry_space_group_name_Hall '-P 4 2 3'
_cell_length_a 4.756
_cell_length_b 4.756
_cell_length_c 4.756
_cell_angle_alpha 90.00
_cell_angle_beta 90.00
_cell_angle_gamma 90.00
loop_
_atom_site_label
_atom_site_type_symbol
_atom_site_fract_x
_atom_site_fract_y
_atom_site_fract_z
Be1 Be 0.000 0.000 0.500
Bi1 Bi 0.000 0.000 0.000
Au1 Au 0.500 0.500 0.500
```

What did the second record say?
Density functional theory data (PBE) for a geometry-optimized BeAu structure.

## Properties
Energy of formation from the pure elements = 0.354 eV per atom
Final energy = -50.37 eV for the cell shown
Density = 7.94 g/cm3

The structure in CIF format:
```
data_BeAu
_symmetry_space_group_name_H-M 'I -4 3 m'
_symmetry_Int_Tables_number 217
_symmetry_space_group_name_Hall 'I -4 2 3'
_cell_length_a 7.010
_cell_length_b 7.010
_cell_length_c 7.010
_cell_angle_alpha 90.00
_cell_angle_beta 90.00
_cell_angle_gamma 90.00
loop_
_atom_site_label
_atom_site_type_symbol
_atom_site_fract_x
_atom_site_fract_y
_atom_site_fract_z
Be1 Be 0.114 0.114 0.114
Au1 Au 0.197 0.197 0.803
```